A plane-wave DFT calculation with PBE+U was carried out for crystalline MgMn2PtO at its relaxed geometry.

## Properties
D(E_F), states/eV/cell: 2.6
Total energy, eV/atom: -5.0521
Total magnetization, μB per formula unit: 9.87

Unit cell a=4.970 b=4.970 c=4.920 alpha=90.00 beta=90.00 gamma=90.00
Space group P4/mmm (No. 123)
Asymmetric unit:
Mg (0.000, 0.000, 0.000) x1
Mn (0.000, 0.500, 0.500) x2
Pt (0.000, 0.000, 0.500) x1
O (0.500, 0.500, 0.000) x1